First-principles (PBE-GGA) data for crystalline Mg3Cd2Rh at its relaxed geometry, as listed in Alexandria.

Unit cell a=7.2311 b=7.2311 c=7.2786 alpha=90.05 beta=90.05 gamma=143.14
Last column: nearest neighbours and their distance in Å.
Fractional positions:
Mg1 0.1775 0.8227 0.2099  3 Rh 2.74-2.77, 2 Cd 2.87-3.00, 3 Mg 3.03-3.06
Mg2 0.1773 0.8225 0.7901  3 Rh 2.74-2.77, 2 Cd 2.87-3.00, 3 Mg 3.03-3.06
Mg3 0.4993 0.4993 0.7656  2 Rh 2.74, 6 Cd 2.85-3.00
Mg4 0.5007 0.5007 0.2344  2 Rh 2.74, 6 Cd 2.85-3.00
Mg5 0.8227 0.1775 0.2099  3 Rh 2.74-2.77, 2 Cd 2.87-3.00, 3 Mg 3.03-3.06
Mg6 0.8225 0.1773 0.7901  3 Rh 2.74-2.77, 2 Cd 2.87-3.00, 3 Mg 3.03-3.06
Cd1 0.0000 0.0000 0.0000  8 Mg 2.85-2.87, 4 Rh 3.14
Cd2 0.0000 0.0000 0.5000  8 Mg 2.99-3.22, 4 Cd 3.24
Cd3 0.3329 0.6671 0.5000  8 Mg 3.00-3.12, 4 Cd 3.23-3.24
Cd4 0.6671 0.3329 0.5000  8 Mg 3.00-3.12, 4 Cd 3.23-3.24
Rh1 0.3434 0.6566 0.0000  8 Mg 2.74-2.77
Rh2 0.6566 0.3434 0.0000  8 Mg 2.74-2.77

Results
Crystal system ... monoclinic
V ... 228 Å³ per cell
Total DFT energy (no corrections) ... -0.1909 Ry/atom
Formation energy from the elements ... -270 meV per atom
Density of states at the Fermi level ... 4.4 states/eV per cell
SG ... No. 12